Entry 1:
This record from the Alexandria database describes a geometry-optimized Rb2Cd4Bi3Sb structure. The functional is PBE-GGA.

Cell: 5.284 5.284 12.146 Å, 90.00 90.00 90.00°
Fractional coordinates of all 10 atoms:
Bi 0.500 0.000 0.871
Bi 0.000 0.000 0.500
Bi 0.000 0.500 0.129
Cd 0.500 0.500 0.000
Cd 0.000 0.500 0.374
Cd 0.000 0.000 0.000
Cd 0.500 0.000 0.626
Rb 0.500 0.000 0.252
Rb 0.000 0.500 0.748
Sb 0.500 0.500 0.500

E_form (uncorrected) (eV/atom): -0.2176
SG: No. 115
E_tot (eV/atom): -2.354

---

Entry 2:
This record from the Alexandria database describes a geometry-optimized RbCd2BiSb structure. The functional is PBE-GGA.

Cell: 4.686 9.165 8.896 Å, 103.74 90.00 90.00°
Fractional coordinates of all 10 atoms:
Cd 0.750 0.497 0.128
Cd 0.750 0.481 0.619
Cd 0.250 0.503 0.872
Cd 0.250 0.519 0.381
Sb 0.250 0.295 0.085
Sb 0.750 0.705 0.915
Bi 0.250 0.272 0.556
Bi 0.750 0.728 0.444
Rb 0.750 0.075 0.788
Rb 0.250 0.925 0.212

E_form (uncorrected) (eV/atom): -0.1878
SG: No. 11
E_tot (eV/atom): -2.348

---

Number 1: size of the total moment 0.00 μB/cell. Number 2: size of the total moment 0.00 μB/cell.